1.
Compound: Bi2Pd3S2
Source: Alexandria
Functional: PBE
Structure: optimized geometry

The value obtained for the total energy is -4.81 eV/atom. The value obtained for the offset from the most stable computed form is 65 meV per atom. The total magnetic moment comes out at 0.00 μB/f.u. The formation energy from raw total energies is -2.1 eV per formula unit.

Cell lengths 5.727, 5.727, 5.727 Å; angles 65.84, 65.84, 65.84 degrees
Fractional positions:
Bi (0.000, 0.000, 0.000)
Bi (0.500, 0.500, 0.500)
Pd (0.500, 0.000, 0.000)
Pd (0.000, 0.500, 0.000)
Pd (0.000, 0.000, 0.500)
S (0.720, 0.720, 0.720)
S (0.280, 0.280, 0.280)

=====

2.
Compound: La3W
Source: Alexandria
Functional: PBE
Structure: optimized geometry

The value obtained for the total energy is -6.29 eV/atom. The value obtained for the offset from the most stable computed form is 228 meV per atom. The calculated formation energy comes out at 0.641 eV/atom. The total magnetic moment comes out at 0.00 μB/f.u.

Cell lengths 6.019, 6.019, 6.019 Å; angles 90.00, 90.00, 90.00 degrees
Fractional positions:
La (0.000, 0.250, 0.500)
La (0.000, 0.750, 0.500)
La (0.250, 0.500, 0.000)
La (0.500, 0.000, 0.250)
La (0.500, 0.000, 0.750)
La (0.750, 0.500, 0.000)
W (0.000, 0.000, 0.000)
W (0.500, 0.500, 0.500)

=====

3.
Compound: LaGa3Ag
Source: Alexandria
Functional: PBE
Structure: optimized geometry

The value obtained for the total energy is -2.47 eV/atom. The value obtained for the offset from the most stable computed form is 1389 meV per atom. The calculated formation energy comes out at 0.899 eV/atom. The total magnetic moment comes out at 0.00 μB/f.u.

Cell lengths 5.719, 5.719, 5.719 Å; angles 90.00, 90.00, 90.00 degrees
Fractional positions:
Ga (0.000, 0.500, 0.000)
Ga (0.000, 0.000, 0.500)
Ga (0.500, 0.000, 0.000)
Ag (0.500, 0.500, 0.500)
La (0.000, 0.000, 0.000)

=====

4.
Compound: PIr2Pb
Source: Alexandria
Functional: PBE
Structure: optimized geometry

The value obtained for the total energy is -6.43 eV/atom. The value obtained for the offset from the most stable computed form is 333 meV per atom. The calculated formation energy comes out at 0.277 eV/atom. The total magnetic moment comes out at 0.00 μB/f.u.

Cell lengths 9.856, 9.856, 9.856 Å; angles 17.79, 17.79, 17.79 degrees
Fractional positions:
Ir (0.989, 0.989, 0.989)
Ir (0.246, 0.246, 0.246)
P (0.527, 0.527, 0.527)
Pb (0.738, 0.738, 0.738)

=====

5.
Compound: Ac4Te5F2
Source: Alexandria
Functional: PBE
Structure: optimized geometry

The value obtained for the total energy is -5.33 eV/atom. The total magnetic moment comes out at 0.00 μB/f.u. The formation energy from raw total energies is -22.7 eV per formula unit.

Cell lengths 4.700, 8.919, 12.323 Å; angles 127.02, 100.99, 90.00 degrees
Fractional positions:
Ac (0.708, 0.694, 0.416)
Ac (0.976, 0.704, 0.952)
Ac (0.292, 0.306, 0.584)
Ac (0.024, 0.296, 0.048)
Te (0.143, 0.827, 0.287)
Te (0.857, 0.173, 0.713)
Te (0.173, 0.387, 0.345)
Te (0.500, 0.000, 0.000)
Te (0.827, 0.613, 0.655)
F (0.568, 0.453, 0.136)
F (0.432, 0.547, 0.864)

=====

6.
Compound: ZrMnPt
Source: Alexandria
Functional: PBE
Structure: optimized geometry

The value obtained for the total energy is -8.40 eV/atom. The calculated formation energy comes out at -0.482 eV/atom. The total magnetic moment comes out at 2.89 μB/f.u.

Cell lengths 3.831, 4.115, 6.738 Å; angles 90.00, 106.50, 90.00 degrees
Last column: magnetic moment on the atom in μB.
Fractional positions:
Zr (0.909, 0.250, 0.817)  -0.27
Zr (0.091, 0.750, 0.183)  -0.27
Mn (0.245, 0.250, 0.490)  3.09
Mn (0.755, 0.750, 0.510)  3.09
Pt (0.585, 0.250, 0.171)  0.05
Pt (0.415, 0.750, 0.829)  0.05